First-principles (PBEsol) data for YOs3Pd after structural relaxation, as listed in the Alexandria database.

Lattice parameters (Å, degrees): 4.6827 4.6827 4.6827 90.00 90.00 90.00
With the nearest neighbours (Å) after each atom.
Fractional coordinates of all 5 atoms:
Pd (0.0000, 0.0000, 0.0000)  6 Os 2.34
Os (0.0000, 0.0000, 0.5000)  2 Pd 2.34
Os (0.5000, 0.0000, 0.0000)  2 Pd 2.34
Os (0.0000, 0.5000, 0.0000)  2 Pd 2.34
Y (0.5000, 0.5000, 0.5000)  12 Os 3.31

**N(E_F)**: 9.9 states/eV/f.u.
**V**: 102.7 Å³/cell
**ΔE_f**: 1.932 eV per atom